# 1
Computed, not measured: Ho4NiSb2 after structural relaxation at the PBE level of DFT.

As for the space group: C2/m, No. 12. Its energy relative to the elements, uncorrected is -0.69 eV per atom.

Cell lengths 4.2523, 8.5239, 7.9468 Å; angles 136.05, 105.52, 90.00 degrees
With the nearest neighbours (Å) after each atom.
Positions (direct):
Ho: 0.9330 0.2160 0.8660  1 Ni 2.70
Ho: 0.0670 0.7840 0.1340  1 Ni 2.70
Ho: 0.6583 0.2633 0.3165  2 Ni 2.70
Ho: 0.3417 0.7367 0.6835  2 Ni 2.70
Ni: 0.0000 0.0000 0.0000  6 Ho 2.70
Sb: 0.6612 0.6572 0.3225  8 Ho 3.13-3.35, 1 Sb 3.43
Sb: 0.3388 0.3428 0.6775  8 Ho 3.13-3.35, 1 Sb 3.43

=====

# 2
Computed, not measured: NaPdAuSCl after structural relaxation at the PBE level of DFT.

As for the space group: Amm2, No. 38. As for the energy above the lowest structure with this stoichiometry: 0.0217 eV/atom. Its energy relative to the elements, uncorrected is -0.59 eV per atom.

Cell lengths 3.6878, 4.4881, 14.0218 Å; angles 90.00, 90.00, 90.00 degrees
With the nearest neighbours (Å) after each atom.
Positions (direct):
Na: 0.0000 0.0000 0.2856  4 Cl 2.91, 1 S 2.96
Na: 0.0000 0.5000 0.7856  4 Cl 2.91, 1 S 2.96
Pd: 0.5000 0.0000 0.5971  2 S 2.32, 1 Cl 2.58
Pd: 0.5000 0.5000 0.0971  2 S 2.32, 1 Cl 2.58
Au: 0.0000 0.0000 0.0499  2 S 2.36
Au: 0.0000 0.5000 0.5499  2 S 2.36
S: 0.0000 0.0000 0.4968  2 Pd 2.32, 2 Au 2.36
S: 0.0000 0.5000 0.9968  2 Pd 2.32, 2 Au 2.36
Cl: 0.5000 0.0000 0.7813  1 Pd 2.58
Cl: 0.5000 0.5000 0.2813  1 Pd 2.58

=====

# 3
Computed, not measured: HoPu2Zn2Si2 after structural relaxation at the PBE level of DFT.

As for the space group: R-3m, No. 166. Its energy relative to the elements, uncorrected is -0.26 eV per atom.

Cell lengths 4.0045, 4.0045, 9.2177 Å; angles 77.45, 77.45, 60.00 degrees
With the nearest neighbours (Å) after each atom.
Positions (direct):
Ho: 0.0000 0.0000 0.0000  6 Zn 3.02, 6 Si 3.06
Pu: 0.1505 0.1505 0.5484  3 Pu 2.47
Pu: 0.8495 0.8495 0.4516  3 Pu 2.47
Zn: 0.5941 0.5941 0.2177  3 Si 2.31
Zn: 0.4059 0.4059 0.7823  3 Si 2.31
Si: 0.7414 0.7414 0.7757  3 Zn 2.31
Si: 0.2586 0.2586 0.2243  3 Zn 2.31

=====

# 4
Computed, not measured: LiCa2Ga7 after structural relaxation at the PBE level of DFT.

The formation energy comes out at -0.3954 eV per atom. As for the space group: P-4m2, No. 115.

Cell lengths 4.2620, 4.2620, 11.0768 Å; angles 90.00, 90.00, 90.00 degrees
With the nearest neighbours (Å) after each atom.
Positions (direct):
Li: 0.5000 0.5000 0.0000  4 Ga 2.60
Ca: 0.5000 0.0000 0.7480  14 Ga 3.24-3.51, 2 Li 3.51
Ca: 0.0000 0.5000 0.2520  14 Ga 3.24-3.51, 2 Li 3.51
Ga: 0.0000 0.5000 0.8649  3 Ga 2.49-2.60, 2 Li 2.60
Ga: 0.5000 0.0000 0.3597  5 Ga 2.49-2.64
Ga: 0.5000 0.0000 0.1351  3 Ga 2.49-2.60, 2 Li 2.60
Ga: 0.0000 0.5000 0.6403  5 Ga 2.49-2.64
Ga: 0.0000 0.0000 0.5000  4 Ga 2.64
Ga: 0.0000 0.0000 0.0000  4 Ga 2.60
Ga: 0.5000 0.5000 0.5000  4 Ga 2.64

=====

# 5
Computed, not measured: TlV2Pt after structural relaxation at the PBE level of DFT.

The formation energy comes out at 0.2075 eV per atom. As for the space group: Fm-3m, No. 225. As for the energy above the lowest structure with this stoichiometry: 0.0000 eV/atom.

Cell lengths 4.5851, 4.5851, 4.5851 Å; angles 60.00, 60.00, 60.00 degrees
With the nearest neighbours (Å) after each atom.
Positions (direct):
Tl: 0.5000 0.5000 0.5000  8 V 2.81
Pt: 0.0000 0.0000 0.0000  8 V 2.81
V: 0.2500 0.2500 0.2500  4 Tl 2.81, 4 Pt 2.81
V: 0.7500 0.7500 0.7500  4 Tl 2.81, 4 Pt 2.81

=====

# 6
Computed, not measured: Ag2HS after structural relaxation at the PBE level of DFT.

As for the space group: I-42d, No. 122. As for the energy above the lowest structure with this stoichiometry: 0.0415 eV/atom.

Cell lengths 4.9975, 4.9975, 6.3366 Å; angles 66.78, 66.78, 90.00 degrees
With the nearest neighbours (Å) after each atom.
Positions (direct):
H: 0.5000 0.5000 0.0000  4 Ag 1.97
H: 0.2500 0.7500 0.5000  4 Ag 1.97
S: 0.0000 0.0000 0.0000  4 Ag 2.51
S: 0.7500 0.2500 0.5000  4 Ag 2.51
Ag: 0.5278 0.1250 0.2500  2 H 1.97
Ag: 0.2222 0.6250 0.2500  2 H 1.97
Ag: 0.3750 0.4722 0.7500  2 H 1.97
Ag: 0.8750 0.7778 0.7500  2 H 1.97

=====

# 7
Computed, not measured: LaSn2GeO8 after structural relaxation at the PBE level of DFT.

As for the space group: P2/m, No. 10. Its energy relative to the elements, uncorrected is -1.77 eV per atom.

Cell lengths 4.8431, 4.8439, 6.7459 Å; angles 90.00, 90.00, 86.98 degrees
With the nearest neighbours (Å) after each atom.
Positions (direct):
La: 0.0000 0.0000 0.5000  6 O 2.32-2.37
Sn: 0.5000 0.5000 0.7659  6 O 2.06-2.16
Sn: 0.5000 0.5000 0.2341  6 O 2.06-2.16
Ge: 0.0000 0.0000 0.0000  6 O 1.89-2.05
O: 0.1925 0.8065 0.2056  1 Ge 1.89, 1 Sn 2.06
O: 0.7077 0.7085 0.0000  1 Ge 2.05, 2 Sn 2.15
O: 0.8075 0.1935 0.2056  1 Ge 1.89, 1 Sn 2.06
O: 0.8075 0.1935 0.7944  1 Ge 1.89, 1 Sn 2.06
O: 0.2923 0.2915 0.0000  1 Ge 2.05, 2 Sn 2.15
O: 0.1925 0.8065 0.7944  1 Ge 1.89, 1 Sn 2.06
O: 0.6691 0.6709 0.5000  2 Sn 2.16, 1 La 2.32, 1 O 2.39
O: 0.3309 0.3291 0.5000  2 Sn 2.16, 1 La 2.32, 1 O 2.39

=====

# 8
Computed, not measured: LiPm4Sm3Te8 after structural relaxation at the PBE level of DFT.

As for the space group: R-3m, No. 166. Its energy relative to the elements, uncorrected is -1.38 eV per atom.

Cell lengths 8.8744, 8.8801, 8.8747 Å; angles 119.98, 120.00, 90.00 degrees
With the nearest neighbours (Å) after each atom.
Positions (direct):
Li: 0.0000 0.5000 0.0000  6 Te 3.05
Pm: 0.5000 0.0000 0.0000  6 Te 3.23
Pm: 0.5000 0.0000 0.5000  6 Te 3.15
Pm: 0.0000 0.0000 0.0000  6 Te 3.15
Pm: 0.0000 0.0000 0.5000  6 Te 3.15
Sm: 0.5000 0.5000 0.0000  6 Te 3.13
Sm: 0.5000 0.5000 0.5000  6 Te 3.13
Sm: 0.0000 0.5000 0.5000  6 Te 3.13
Te: 0.2427 0.7416 0.9988  1 Li 3.05, 2 Sm 3.13, 3 Pm 3.15-3.23
Te: 0.2428 0.7417 0.4856  1 Li 3.05, 2 Sm 3.13, 3 Pm 3.15-3.23
Te: 0.2506 0.2518 0.5012  3 Sm 3.13, 3 Pm 3.15
Te: 0.7561 0.7416 0.9988  1 Li 3.05, 2 Sm 3.13, 3 Pm 3.15-3.23
Te: 0.2439 0.2584 0.0012  1 Li 3.05, 2 Sm 3.13, 3 Pm 3.15-3.23
Te: 0.7494 0.7482 0.4988  3 Sm 3.13, 3 Pm 3.15
Te: 0.7572 0.2583 0.5144  1 Li 3.05, 2 Sm 3.13, 3 Pm 3.15-3.23
Te: 0.7573 0.2584 0.0012  1 Li 3.05, 2 Sm 3.13, 3 Pm 3.15-3.23

=====

Total magnetization (Bohr magnetons per cell)
0.00 0.00 0.00 0.00 4.62 0.00 0.52 0.00